No. 1
# TiPd (GGA-PBE, optimized geometry)
# **E_tot**: -27.71 eV/cell
# **Formation energy**: -384 meV per atom
# **D(E_F)**: 1.3683 states/eV/atom
# **Spin magnetization**: 0.000 μB/f.u.
data_TiPd
_cell_length_a 2.886
_cell_length_b 4.617
_cell_length_c 4.786
_cell_angle_alpha 90.00
_cell_angle_beta 90.00
_cell_angle_gamma 90.00
_space_group_name_H-M_alt 'P m m n'
_space_group_IT_number 59
loop_
_space_group_symop_operation_xyz
'x,y,z'
'-x,-y,-z'
'-x+1/2,-y+1/2,z'
'x+1/2,y+1/2,-z'
'x+1/2,-y,-z'
'-x+1/2,y,z'
'-x,y+1/2,-z'
'x,-y+1/2,z'
loop_
_atom_site_label
_atom_site_type_symbol
_atom_site_fract_x
_atom_site_fract_y
_atom_site_fract_z
Ti1 Ti 0.250 0.250 0.111
Pd1 Pd 0.250 0.750 0.394



No. 2
# TiPd (GGA-PBE, optimized geometry)
# **E_tot**: -49.17 eV/cell
# **Formation energy**: 397 meV per atom
# **D(E_F)**: 0.3686 states/eV/atom
# **Spin magnetization**: 0.000 μB/f.u.
data_TiPd
_cell_length_a 5.673
_cell_length_b 5.673
_cell_length_c 5.673
_cell_angle_alpha 90.00
_cell_angle_beta 90.00
_cell_angle_gamma 90.00
_space_group_name_H-M_alt 'F -4 3 m'
_space_group_IT_number 216
_space_group_name_Hall 'F -4 2 3'
loop_
_atom_site_label
_atom_site_type_symbol
_atom_site_fract_x
_atom_site_fract_y
_atom_site_fract_z
Ti1 Ti 0.000 0.000 0.000
Pd1 Pd 0.250 0.250 0.750